Record 1
DyBe2TlF8 | PBE | relaxed

## Properties
* ΔE_f (raw): -39.806 eV/f.u.

abc: 5.148 5.148 8.645
angles: 72.68 72.68 60.00
Atoms (fractional coordinates):
F (0.423, 0.745, 0.840)
F (0.992, 0.423, 0.840)
F (0.008, 0.577, 0.160)
F (0.255, 0.008, 0.160)
F (0.577, 0.255, 0.160)
F (0.807, 0.807, 0.580)
F (0.193, 0.193, 0.420)
F (0.745, 0.992, 0.840)
Dy (0.000, 0.000, 0.000)
Be (0.745, 0.745, 0.764)
Be (0.255, 0.255, 0.236)
Tl (0.500, 0.500, 0.500)

Record 2
DyBe4Fe | PBE | relaxed

## Properties
* formation energy from the elements: -7 meV per atom

abc: 4.611 4.611 4.611
angles: 60.00 60.00 60.00
Atoms (fractional coordinates):
Be (0.629, 0.114, 0.629)
Be (0.629, 0.629, 0.114)
Be (0.114, 0.629, 0.629)
Be (0.629, 0.629, 0.629)
Dy (0.250, 0.250, 0.250)
Fe (0.000, 0.000, 0.000)

Record 3
Dy3Be2Fe7 | PBE | relaxed

## Properties
* formation energy from the elements: -125 meV per atom

abc: 5.070 5.070 8.287
angles: 72.19 72.19 60.00
Atoms (fractional coordinates):
Fe (0.424, 0.922, 0.230)
Fe (0.078, 0.576, 0.770)
Fe (0.500, 0.500, 0.500)
Fe (0.576, 0.078, 0.770)
Fe (0.576, 0.576, 0.770)
Fe (0.922, 0.424, 0.230)
Fe (0.424, 0.424, 0.230)
Dy (0.141, 0.141, 0.577)
Dy (0.859, 0.859, 0.423)
Dy (0.000, 0.000, 0.000)
Be (0.667, 0.667, 0.999)
Be (0.333, 0.333, 0.001)

Record 4
DyBeFe | PBE | relaxed

## Properties
* formation energy from the elements: 259 meV per atom

abc: 5.076 5.356 4.468
angles: 90.00 124.61 90.00
Atoms (fractional coordinates):
Be (0.258, 0.250, 0.517)
Be (0.742, 0.750, 0.483)
Fe (0.000, 0.500, 0.000)
Fe (0.000, 0.000, 0.000)
Dy (0.647, 0.250, 0.294)
Dy (0.353, 0.750, 0.706)

Record 5
DyBe17Fe | PBE | relaxed

## Properties
* formation energy from the elements: -47 meV per atom

abc: 5.646 5.646 5.646
angles: 83.01 83.01 83.01
Atoms (fractional coordinates):
Be (0.164, 0.652, 0.652)
Be (0.703, 0.289, 0.009)
Be (0.101, 0.101, 0.101)
Be (0.652, 0.164, 0.652)
Be (0.996, 0.996, 0.504)
Be (0.908, 0.908, 0.908)
Be (0.340, 0.340, 0.867)
Be (0.652, 0.652, 0.164)
Be (0.289, 0.703, 0.009)
Be (0.996, 0.504, 0.996)
Be (0.867, 0.340, 0.340)
Be (0.009, 0.289, 0.703)
Be (0.289, 0.009, 0.703)
Be (0.504, 0.996, 0.996)
Be (0.703, 0.009, 0.289)
Be (0.340, 0.867, 0.340)
Be (0.009, 0.703, 0.289)
Fe (0.319, 0.319, 0.319)
Dy (0.659, 0.659, 0.659)

Record 6
DyBeFe2Si2 | PBE | relaxed

## Properties
* ΔE_f (raw): -2.617 eV/f.u.

abc: 3.973 3.973 5.166
angles: 90.00 90.00 90.00
Atoms (fractional coordinates):
Fe (0.500, 0.000, 0.000)
Fe (0.000, 0.500, 0.000)
Dy (0.000, 0.000, 0.500)
Si (0.500, 0.500, 0.744)
Si (0.500, 0.500, 0.256)
Be (0.000, 0.000, 0.000)

Taking the records one at a time from the top gives DFT total energy values of -5.77 -4.67 -6.83 -5.34 -4.07 -6.45 eV per atom.
Taking the records one at a time from the top gives D(E_F) values of 0.00 5.02 8.89 6.46 4.54 3.00 states/eV per cell.
Taking the records one at a time from the top gives total magnetization values of 0.00 1.01 11.77 2.91 1.94 0.00 μB/cell.